## Fe3O2F6 (PBE+U)

Data for a geometry-optimized Fe3O2F6 structure.

Raw total energy: -5.44 eV per atom
Space-group type: P2_1/c, No. 14

a b c (Å): 5.6362 4.7697 9.9781
angles (deg): 90.00 93.97 90.00
Last column: nearest neighbours and their distance in Å.
Element x y z (fractional)
Fe: 0.0000 0.0000 0.0000  2 O 1.89, 4 F 1.93-1.98
Fe: 0.0000 0.5000 0.5000  2 O 1.89, 4 F 1.93-1.98
Fe: 0.2443 0.0236 0.7400  4 F 1.94-2.01, 2 O 2.00-2.03
Fe: 0.2443 0.4764 0.2400  4 F 1.94-2.01, 2 O 2.00-2.03
Fe: 0.7557 0.5236 0.7600  4 F 1.94-2.01, 2 O 2.00-2.03
Fe: 0.7557 0.9764 0.2600  4 F 1.94-2.01, 2 O 2.00-2.03
O: 0.0199 0.1766 0.1700  3 Fe 1.89-2.03
O: 0.0199 0.3234 0.6700  3 Fe 1.89-2.03
O: 0.9801 0.6766 0.3300  3 Fe 1.89-2.03
O: 0.9801 0.8234 0.8300  3 Fe 1.89-2.03
F: 0.2038 0.6931 0.0753  2 Fe 1.94-1.98
F: 0.2038 0.8069 0.5753  2 Fe 1.94-1.98
F: 0.2650 0.1875 0.9262  2 Fe 1.93-2.01
F: 0.2650 0.3125 0.4262  2 Fe 1.93-2.01
F: 0.4827 0.7421 0.8080  2 Fe 1.95-1.99
F: 0.4827 0.7579 0.3080  2 Fe 1.95-1.99
F: 0.5173 0.2421 0.6920  2 Fe 1.95-1.99
F: 0.5173 0.2579 0.1920  2 Fe 1.95-1.99
F: 0.7350 0.6875 0.5738  2 Fe 1.93-2.01
F: 0.7350 0.8125 0.0738  2 Fe 1.93-2.01
F: 0.7962 0.1931 0.4247  2 Fe 1.94-1.98
F: 0.7962 0.3069 0.9247  2 Fe 1.94-1.98